Entry from the Alexandria database: a crystal of Pm3Hg relaxed with PBEsol (meta-GGA SCAN).

Cell: 6.9357 6.9357 5.3649 Å, 90.00 90.00 120.00°
Element x y z (fractional)
Pm1 0.1758 0.3516 0.2500
Pm2 0.1758 0.8242 0.2500
Pm3 0.3516 0.1758 0.7500
Pm4 0.6484 0.8242 0.2500
Pm5 0.8242 0.1758 0.7500
Pm6 0.8242 0.6484 0.7500
Hg1 0.3333 0.6667 0.7500
Hg2 0.6667 0.3333 0.2500

- DFT formation energy: -30.8 kJ/mol of atoms
- Volume: 27.94 A^3/atom
- Density: 9.4 Mg/m³
- Magnetic moment: 0.8 μB per formula unit
- Crystal system: hexagonal